Below is TbNdDy3Er after structural relaxation, with properties calculated at the GGA-PBE level.

Lattice parameters (Å, degrees): 5.762 6.477 11.524 90.00 90.00 116.41
Atoms (fractional coordinates):
Tb 0.000 0.000 0.500
Tb 0.000 0.000 0.000
Nd 0.527 0.053 0.750
Nd 0.473 0.947 0.250
Dy 0.675 0.349 0.473
Dy 0.325 0.651 0.527
Dy 0.325 0.651 0.973
Dy 0.675 0.349 0.027
Dy 0.142 0.284 0.750
Dy 0.858 0.716 0.250
Er 0.829 0.657 0.750
Er 0.171 0.343 0.250

Calculated values
Energy of formation ... 0.127 eV/atom
Energy ... -4.50 eV/atom
Magnetic moment ... 0.00 μB/cell
DOS at the Fermi energy ... 11.340 states/eV/f.u.

Below is TbNdDy2Er after structural relaxation, with properties calculated at the GGA-PBE level.

Lattice parameters (Å, degrees): 7.191 8.397 7.111 126.19 90.00 90.00
Atoms (fractional coordinates):
Tb 0.250 0.997 0.993
Tb 0.750 0.003 0.007
Nd 0.250 0.727 0.454
Nd 0.750 0.273 0.546
Dy 0.500 0.310 0.000
Dy 0.000 0.690 0.000
Dy 0.500 0.690 0.000
Dy 0.000 0.310 0.000
Er 0.750 0.724 0.448
Er 0.250 0.276 0.552

Calculated values
Energy of formation ... 0.390 eV/atom
Energy ... -4.24 eV/atom
Magnetic moment ... 0.00 μB/cell
DOS at the Fermi energy ... 7.538 states/eV/f.u.

Below is Tb6Nd2DyEr3 after structural relaxation, with properties calculated at the GGA-PBE level.

Lattice parameters (Å, degrees): 6.173 6.173 11.813 94.98 94.98 119.97
Atoms (fractional coordinates):
Tb 0.915 0.582 0.746
Tb 0.752 0.752 0.254
Tb 0.085 0.418 0.254
Tb 0.582 0.915 0.746
Tb 0.248 0.248 0.746
Tb 0.418 0.085 0.254
Nd 0.333 0.667 0.000
Nd 0.667 0.333 0.000
Dy 0.000 0.000 0.000
Er 0.166 0.834 0.500
Er 0.834 0.166 0.500
Er 0.500 0.500 0.500

Calculated values
Energy of formation ... 0.017 eV/atom
Energy ... -4.62 eV/atom
Magnetic moment ... 0.00 μB/cell
DOS at the Fermi energy ... 15.488 states/eV/f.u.

Below is Tb2NdDy6Er3 after structural relaxation, with properties calculated at the GGA-PBE level.

Lattice parameters (Å, degrees): 6.140 6.140 11.752 94.97 94.97 119.95
Atoms (fractional coordinates):
Tb 0.333 0.667 0.000
Tb 0.667 0.333 0.000
Nd 0.000 0.000 0.000
Dy 0.915 0.581 0.747
Dy 0.751 0.751 0.253
Dy 0.085 0.419 0.253
Dy 0.581 0.915 0.747
Dy 0.249 0.249 0.747
Dy 0.419 0.085 0.253
Er 0.167 0.833 0.500
Er 0.833 0.167 0.500
Er 0.500 0.500 0.500

Calculated values
Energy of formation ... 0.018 eV/atom
Energy ... -4.59 eV/atom
Magnetic moment ... 0.00 μB/cell
DOS at the Fermi energy ... 15.634 states/eV/f.u.